# PBE CrCuCl2, relaxed
data_CrCuCl2
_cell_length_a 6.6338
_cell_length_b 6.6338
_cell_length_c 6.6338
_cell_angle_alpha 90.00
_cell_angle_beta 90.00
_cell_angle_gamma 90.00
_space_group_name_H-M_alt 'F -4 3 m'
_space_group_IT_number 216
_space_group_name_Hall 'F -4 2 3'
loop_
_atom_site_label
_atom_site_type_symbol
_atom_site_fract_x
_atom_site_fract_y
_atom_site_fract_z
Cr1 Cr 0.0000 0.0000 0.0000
Cu1 Cu 0.2500 0.2500 0.7500
Cl1 Cl 0.0000 0.0000 0.5000
Cl2 Cl 0.2500 0.2500 0.2500
# **E_form (uncorrected)**: 0.38 eV per atom
# **Total moment**: 4.86 μB/f.u.
# **Relative energy among the computed polymorphs**: 16.13 kcal/mol of atoms


# PBE Cr2CuCl, relaxed
data_Cr2CuCl
_cell_length_a 6.3087
_cell_length_b 6.8109
_cell_length_c 3.0256
_cell_angle_alpha 90.00
_cell_angle_beta 90.00
_cell_angle_gamma 90.00
_space_group_name_H-M_alt 'C m m m'
_space_group_IT_number 65
_space_group_name_Hall '-C 2 2'
loop_
_atom_site_label
_atom_site_type_symbol
_atom_site_fract_x
_atom_site_fract_y
_atom_site_fract_z
Cr1 Cr 0.2500 0.2500 0.0000
Cu1 Cu 0.0000 0.0000 0.5000
Cl1 Cl 0.0000 0.5000 0.5000
# **E_form (uncorrected)**: 0.60 eV per atom
# **Total moment**: 8.60 μB/f.u.
# **Relative energy among the computed polymorphs**: 9.75 kcal/mol of atoms


# PBE CrCu2Cl2, relaxed
data_CrCu2Cl2
_cell_length_a 6.4911
_cell_length_b 6.4911
_cell_length_c 4.5247
_cell_angle_alpha 90.00
_cell_angle_beta 90.00
_cell_angle_gamma 90.00
_space_group_name_H-M_alt 'P 4/m b m'
_space_group_IT_number 127
_space_group_name_Hall '-P 4 2ab'
loop_
_atom_site_label
_atom_site_type_symbol
_atom_site_fract_x
_atom_site_fract_y
_atom_site_fract_z
Cr1 Cr 0.0000 0.0000 0.0000
Cu1 Cu 0.2239 0.2761 0.5000
Cl1 Cl 0.1734 0.3266 0.0000
# **E_form (uncorrected)**: 0.20 eV per atom
# **Total moment**: 3.83 μB/f.u.
# **Relative energy among the computed polymorphs**: 1.94 kcal/mol of atoms


# PBE CrCuCl2, relaxed
data_CrCuCl2
_cell_length_a 3.7998
_cell_length_b 5.8731
_cell_length_c 7.7274
_cell_angle_alpha 90.00
_cell_angle_beta 90.00
_cell_angle_gamma 90.00
_space_group_name_H-M_alt 'C m m 2'
_space_group_IT_number 35
_space_group_name_Hall 'C 2 -2'
loop_
_atom_site_label
_atom_site_type_symbol
_atom_site_fract_x
_atom_site_fract_y
_atom_site_fract_z
Cr1 Cr 0.0000 0.0000 0.0000
Cu1 Cu 0.0000 0.5000 0.7728
Cl1 Cl 0.0000 0.0000 0.6237
Cl2 Cl 0.0000 0.5000 0.1858
# **E_form (uncorrected)**: -0.18 eV per atom
# **Total moment**: 4.10 μB/f.u.
# **Relative energy among the computed polymorphs**: 3.24 kcal/mol of atoms


# PBE K2CrCuCl6, relaxed
data_K2CrCuCl6
_cell_length_a 6.9049
_cell_length_b 6.9049
_cell_length_c 9.8708
_cell_angle_alpha 90.00
_cell_angle_beta 90.00
_cell_angle_gamma 90.00
_space_group_name_H-M_alt 'I 4/m m m'
_space_group_IT_number 139
_space_group_name_Hall '-I 4 2'
loop_
_atom_site_label
_atom_site_type_symbol
_atom_site_fract_x
_atom_site_fract_y
_atom_site_fract_z
K1 K 0.0000 0.5000 0.2500
Cr1 Cr 0.0000 0.0000 0.0000
Cu1 Cu 0.0000 0.0000 0.5000
Cl1 Cl 0.0000 0.0000 0.2421
Cl2 Cl 0.2454 0.2454 0.0000
# **E_form (uncorrected)**: -1.30 eV per atom
# **Total moment**: 2.98 μB/f.u.


# PBE KCrCuCl6, relaxed
data_KCrCuCl6
_cell_length_a 6.2873
_cell_length_b 6.2873
_cell_length_c 7.0042
_cell_angle_alpha 90.00
_cell_angle_beta 90.00
_cell_angle_gamma 120.00
_space_group_name_H-M_alt 'P 3 1 2'
_space_group_IT_number 149
_space_group_name_Hall 'P 3 2'
loop_
_atom_site_label
_atom_site_type_symbol
_atom_site_fract_x
_atom_site_fract_y
_atom_site_fract_z
K1 K 0.0000 0.0000 0.0000
Cr1 Cr 0.6667 0.3333 0.5000
Cu1 Cu 0.3333 0.6667 0.5000
Cl1 Cl 0.3765 0.0129 0.3073
# **E_form (uncorrected)**: -1.08 eV per atom
# **Total moment**: 2.00 μB/f.u.


# PBE KCrCu2Cl6, relaxed
data_KCrCu2Cl6
_cell_length_a 13.4537
_cell_length_b 11.6342
_cell_length_c 7.7613
_cell_angle_alpha 90.00
_cell_angle_beta 114.74
_cell_angle_gamma 90.00
_space_group_name_H-M_alt 'C 1 2/c 1'
_space_group_IT_number 15
_space_group_name_Hall '-C 2yc'
loop_
_atom_site_label
_atom_site_type_symbol
_atom_site_fract_x
_atom_site_fract_y
_atom_site_fract_z
K1 K 0.0000 0.1572 0.2500
Cr1 Cr 0.0000 0.2079 0.7500
Cu1 Cu 0.1906 0.4544 0.1987
Cl1 Cl 0.1124 0.0876 0.6840
Cl2 Cl 0.1214 0.2707 0.0390
Cl3 Cl 0.1644 0.4211 0.4619
# **E_form (uncorrected)**: -0.91 eV per atom
# **Total moment**: 2.97 μB/f.u.


# PBE K3Cr2CuCl9, relaxed
data_K3Cr2CuCl9
_cell_length_a 6.9594
_cell_length_b 6.9594
_cell_length_c 8.5404
_cell_angle_alpha 90.00
_cell_angle_beta 90.00
_cell_angle_gamma 120.00
_space_group_name_H-M_alt 'P -3 m 1'
_space_group_IT_number 164
_space_group_name_Hall '-P 3 2"'
loop_
_atom_site_label
_atom_site_type_symbol
_atom_site_fract_x
_atom_site_fract_y
_atom_site_fract_z
K1 K 0.0000 0.0000 0.0000
K2 K 0.3333 0.6667 0.6568
Cr1 Cr 0.3333 0.6667 0.1708
Cu1 Cu 0.0000 0.0000 0.5000
Cl1 Cl 0.0000 0.5000 0.0000
Cl2 Cl 0.1689 0.3377 0.3294
# **E_form (uncorrected)**: -1.32 eV per atom
# **Total moment**: 7.00 μB/f.u.